VASP calculation (PBE) on a relaxed structure of HoInRuRh.

As for the energy: -6.46 eV/atom. The density of states at the Fermi level comes out at 13.06 states/eV/cell. Its crystal system is cubic.

The space group is F-43m (No. 216) and the conventional cell measures 6.617, 6.617 and 6.617 Å, with angles of 90.00, 90.00 and 90.00 degrees. The asymmetric unit holds Ho at (0.000, 0.000, 0.000), In at (0.000, 0.000, 0.500), Ru at (0.250, 0.250, 0.750) and Rh at (0.250, 0.250, 0.250).



VASP calculation (PBE) on a relaxed structure of Ho5In2Ru2Rh.

As for the energy: -5.86 eV/atom. The density of states at the Fermi level comes out at 12.54 states/eV/cell. Its crystal system is tetragonal.

The space group is P4/mbm (No. 127) and the conventional cell measures 11.642, 11.642 and 3.458 Å, with angles of 90.00, 90.00 and 90.00 degrees. The asymmetric unit holds Ho at (0.000, 0.500, 0.000), Ho at (0.063, 0.197, 0.000), In at (0.182, 0.682, 0.500), Ru at (0.137, 0.363, 0.500) and Rh at (0.000, 0.000, 0.500).



VASP calculation (PBE) on a relaxed structure of Ho5In2RuRh2.

As for the energy: -5.81 eV/atom. The density of states at the Fermi level comes out at 10.67 states/eV/cell. Its crystal system is tetragonal.

The space group is P4/mbm (No. 127) and the conventional cell measures 11.601, 11.601 and 3.487 Å, with angles of 90.00, 90.00 and 90.00 degrees. The asymmetric unit holds Ho at (0.000, 0.500, 0.000), Ho at (0.064, 0.194, 0.000), In at (0.179, 0.679, 0.500), Ru at (0.000, 0.000, 0.500) and Rh at (0.136, 0.364, 0.500).